YIrW2 (PBE, relaxed); symmetry = C2/m; ΔE to the lowest computed polymorph = 0.0978 eV per atom
1.0
5.276 -1.503 0.000
5.276 1.503 0.000
-1.383 0.000 4.579
Y Ir W
1 1 2
Cartesian
0.000 0.000 0.000 Y
4.584 0.000 2.290 Ir
1.423 0.000 3.295 W
7.746 0.000 1.284 W

=====

Pr3Sm4In2 (PBE, relaxed); symmetry = C2/m
1.0
5.646 -2.448 0.000
5.646 2.448 0.000
-3.523 0.000 10.112
Pr Sm In
3 4 2
Cartesian
0.000 0.000 0.000 Pr
2.139 0.000 4.525 Pr
5.631 0.000 5.587 Pr
-2.292 0.000 6.839 Sm
3.336 0.000 1.115 Sm
4.434 0.000 8.997 Sm
10.062 0.000 3.273 Sm
1.042 0.000 7.921 In
6.727 0.000 2.191 In

=====

LiCeZnHg (PBE, relaxed); symmetry = F-43m
1.0
0.000 3.547 3.547
3.547 0.000 3.547
3.547 3.547 0.000
Li Ce Zn Hg
1 1 1 1
Cartesian
0.000 0.000 0.000 Li
3.547 3.547 3.547 Ce
1.774 1.774 1.774 Zn
5.321 5.321 5.321 Hg

=====

Number 1: energy of formation from the pure elements 0.17 eV per atom, total magnetic moment 0.0 Bohr magnetons per cell. Number 2: energy of formation from the pure elements -0.21 eV per atom, total magnetic moment 0.0 Bohr magnetons per cell. Number 3: energy of formation from the pure elements -0.25 eV per atom, total magnetic moment 0.7 Bohr magnetons per cell.